CuBiBr (GGA-PBE, relaxed); volume = 26.4 Å³/atom; E_form (uncorrected) = -29.6 meV per atom; crystal system = orthorhombic
1.0
-0.818 -3.330 -0.538
3.054 0.103 -5.279
12.465 -4.216 7.127
Br Cu Bi
4 4 4
Direct
0.750 0.099 0.682
0.750 0.401 0.182
0.250 0.901 0.318
0.250 0.599 0.818
0.750 0.540 0.939
0.750 0.960 0.439
0.250 0.040 0.561
0.250 0.460 0.061
0.750 0.635 0.573
0.250 0.135 0.927
0.750 0.865 0.073
0.250 0.365 0.427